Ho3HgPd12: optimized geometry, PBE.

Magnetic moment = 0.000 μB per formula unit
Formation energy from the elements = -693 meV/atom
Crystal system = tetragonal

Cell and atoms, written as CIF:
```
data_Ho3HgPd12
_chemical_formula_sum 'Ho3 Hg1 Pd12'
_symmetry_space_group_name_H-M 'P 1'
_symmetry_Int_Tables_number 1
_symmetry_space_group_name_Hall 'P 1'
_cell_length_a 4.091
_cell_length_b 4.091
_cell_length_c 16.482
_cell_angle_alpha 90.00
_cell_angle_beta 90.00
_cell_angle_gamma 90.00
loop_
_atom_site_label
_atom_site_type_symbol
_atom_site_fract_x
_atom_site_fract_y
_atom_site_fract_z
_atom_site_occupancy
Hg1 Hg 0.000 0.000 0.000 1
Pd1 Pd 0.000 0.500 0.625 1
Ho1 Ho 0.000 0.000 0.500 1
Pd2 Pd 0.000 0.500 0.124 1
Pd3 Pd 0.500 0.500 0.750 1
Pd4 Pd 0.500 0.000 0.124 1
Pd5 Pd 0.500 0.500 0.250 1
Ho2 Ho 0.000 0.000 0.752 1
Pd6 Pd 0.500 0.500 0.500 1
Ho3 Ho 0.000 0.000 0.248 1
Pd7 Pd 0.500 0.000 0.876 1
Pd8 Pd 0.000 0.500 0.375 1
Pd9 Pd 0.500 0.000 0.375 1
Pd10 Pd 0.500 0.000 0.625 1
Pd11 Pd 0.500 0.500 0.000 1
Pd12 Pd 0.000 0.500 0.876 1
```